An optimized crystal structure of Cs3Sb2I9, computed with PBEsol.

Unit cell a=8.2575 b=8.2575 c=20.9211 alpha=90.00 beta=90.00 gamma=120.00
With the nearest neighbours (Å) after each atom.
Fractional coordinates of all 28 atoms:
I 0.1634 0.8366 0.4182  1 Sb 2.89
I 0.1634 0.8366 0.0818  1 Sb 2.89
Sb 0.6667 0.3333 0.8432  6 I 2.89-3.15
I 0.3268 0.1634 0.5818  1 Sb 2.89
I 0.8366 0.1634 0.9182  1 Sb 2.89
I 0.1634 0.3268 0.0818  1 Sb 2.89
I 0.4940 0.5060 0.7500  2 Sb 3.15
Cs 0.6667 0.3333 0.0741  12 I 4.07-4.34
I 0.9881 0.4940 0.2500  2 Sb 3.15
I 0.1634 0.3268 0.4182  1 Sb 2.89
I 0.3268 0.1634 0.9182  1 Sb 2.89
I 0.8366 0.1634 0.5818  1 Sb 2.89
Cs 0.3333 0.6667 0.5741  12 I 4.07-4.34
Sb 0.6667 0.3333 0.6568  6 I 2.89-3.15
Cs 0.0000 0.0000 0.7500  12 I 4.13-4.22
I 0.8366 0.6732 0.9182  1 Sb 2.89
I 0.5060 0.0119 0.2500  2 Sb 3.15
I 0.4940 0.9881 0.7500  2 Sb 3.15
I 0.5060 0.4940 0.2500  2 Sb 3.15
I 0.8366 0.6732 0.5818  1 Sb 2.89
Cs 0.3333 0.6667 0.9259  12 I 4.07-4.34
Sb 0.3333 0.6667 0.3432  6 I 2.89-3.15
I 0.6732 0.8366 0.0818  1 Sb 2.89
Cs 0.6667 0.3333 0.4259  12 I 4.07-4.34
Sb 0.3333 0.6667 0.1568  6 I 2.89-3.15
I 0.6732 0.8366 0.4182  1 Sb 2.89
Cs 0.0000 0.0000 0.2500  12 I 4.13-4.22
I 0.0119 0.5060 0.7500  2 Sb 3.15

## Properties
* energy relative to the lowest polymorph listed for this composition: 0.000 eV per atom
* E_form (uncorrected): -12.5 eV/f.u.

An optimized crystal structure of BaNiOs, computed with PBEsol.

Unit cell a=3.0008 b=3.0008 c=7.3736 alpha=90.00 beta=90.00 gamma=120.00
With the nearest neighbours (Å) after each atom.
Fractional coordinates of all 3 atoms:
Ni 0.3333 0.6667 0.6193  3 Os 2.45
Os 0.6667 0.3333 0.3842  3 Ni 2.45
Ba 0.0000 0.0000 0.9965  6 Ba 3.00, 3 Ni 3.28, 3 Os 3.34

## Properties
* energy relative to the lowest polymorph listed for this composition: 0.578 eV per atom
* D(E_F): 3.878 states/eV/f.u.
* formation energy from the elements: 1.2459 eV per atom

An optimized crystal structure of BaSr2Sn2, computed with PBEsol.

Unit cell a=5.9880 b=5.9880 c=7.1840 alpha=114.63 beta=114.63 gamma=90.00
With the nearest neighbours (Å) after each atom.
Fractional coordinates of all 5 atoms:
Sr 0.6586 0.6586 0.3171  4 Sn 3.18
Sr 0.3414 0.3414 0.6829  4 Sn 3.18
Sn 0.7500 0.2500 0.5000  4 Sr 3.18
Ba 0.0000 0.0000 0.0000  2 Sr 3.96, 8 Sn 4.17
Sn 0.2500 0.7500 0.5000  4 Sr 3.18

## Properties
* D(E_F): 2.598 states/eV/f.u.
* formation energy from the elements: -0.2873 eV per atom

An optimized crystal structure of YCoAg4, computed with PBEsol.

Unit cell a=5.3468 b=5.3468 c=5.3468 alpha=60.00 beta=60.00 gamma=60.00
With the nearest neighbours (Å) after each atom.
Fractional coordinates of all 6 atoms:
Co 0.7500 0.7500 0.7500  12 Ag 3.13, 4 Y 3.27
Ag 0.3756 0.8734 0.3756  6 Ag 2.66-2.69
Ag 0.8734 0.3756 0.3756  6 Ag 2.66-2.69
Ag 0.3756 0.3756 0.8734  6 Ag 2.66-2.69
Ag 0.3756 0.3756 0.3756  6 Ag 2.66-2.69
Y 0.0000 0.0000 0.0000  12 Ag 3.14, 4 Co 3.27

## Properties
* D(E_F): 9.179 states/eV/f.u.
* formation energy from the elements: 0.1525 eV per atom